Here is SrCd2PdO4 after structural relaxation from Alexandria. Energies are from PBE.

Computed properties:
* space group: Cmcm
* VASP energy: -74.1 eV/cell
* E_form (uncorrected): -1067 meV/atom
* spin magnetization: 1.64 μB/cell

Structure (POSCAR):
```
SrCd2PdO4
1.0
-0.140 3.283 -0.301
-2.933 -1.295 5.331
10.379 0.988 5.951
Sr Cd Pd O
2 4 2 8
Direct
0.150 0.300 0.750
0.850 0.700 0.250
0.371 0.743 0.535
0.629 0.257 0.035
0.629 0.257 0.465
0.371 0.743 0.965
0.889 0.779 0.750
0.111 0.221 0.250
0.251 0.502 0.121
0.749 0.498 0.621
0.749 0.498 0.879
0.251 0.502 0.379
0.000 0.000 0.500
0.000 0.000 0.000
0.494 0.989 0.750
0.506 0.011 0.250
```

Here is Na8N3O after structural relaxation from Alexandria. Energies are from PBE.

Computed properties:
* space group: Pm-3m
* VASP energy: -39.8 eV/cell
* E_form (uncorrected): 59 meV/atom
* spin magnetization: 3.00 μB/cell

Structure (POSCAR):
```
Na8N3O
1.0
5.800 0.000 0.000
0.000 5.800 0.000
0.000 0.000 5.800
Na N O
8 3 1
Direct
0.257 0.743 0.257
0.743 0.257 0.257
0.743 0.743 0.743
0.257 0.257 0.743
0.257 0.743 0.743
0.743 0.257 0.743
0.743 0.743 0.257
0.257 0.257 0.257
0.000 0.500 0.000
0.500 0.000 0.000
0.000 0.000 0.500
0.500 0.500 0.500
```

Here is TcPtF3 after structural relaxation from Alexandria. Energies are from PBE.

Computed properties:
* space group: Pm-3m
* VASP energy: -22.2 eV/cell
* E_form (uncorrected): -35 meV/atom
* spin magnetization: 4.60 μB/cell
* distance to the lowest polymorph of the same formula: 374 meV/atom

Structure (POSCAR):
```
TcPtF3
1.0
-4.138 -0.336 1.314
0.671 -4.174 1.045
1.179 1.195 4.018
Tc Pt F
1 1 3
Direct
0.500 0.500 0.500
0.000 0.000 0.000
0.000 0.500 0.000
0.000 0.000 0.500
0.500 0.000 0.000
```

Here is CaAc8Pr3 after structural relaxation from Alexandria. Energies are from PBE.

Computed properties:
* space group: C2/m
* VASP energy: -45.4 eV/cell
* spin magnetization: 0.00 μB/cell
* energy relative to the elements: 321 meV/atom

Structure (POSCAR):
```
CaAc8Pr3
1.0
7.881 0.253 -5.222
-3.606 8.650 -1.277
-1.675 -0.254 9.305
Ca Ac Pr
1 8 3
Direct
0.000 0.000 0.000
0.510 0.274 0.235
0.490 0.726 0.765
0.961 0.725 0.235
0.039 0.275 0.765
0.169 0.415 0.249
0.834 0.080 0.249
0.831 0.585 0.751
0.166 0.920 0.751
0.501 0.712 0.213
0.499 0.288 0.787
0.000 0.500 0.500
```

Here is La2MgNi4Sn3 after structural relaxation from Alexandria. Energies are from PBE.

Computed properties:
* space group: P-4m2
* VASP energy: -51.7 eV/cell
* spin magnetization: 0.00 μB/cell
* energy relative to the elements: -511 meV/atom

Structure (POSCAR):
```
La2MgNi4Sn3
1.0
4.466 0.000 0.000
0.000 4.466 0.000
0.000 0.000 10.270
La Mg Ni Sn
2 1 4 3
Direct
0.500 0.000 0.238
0.000 0.500 0.762
0.500 0.500 0.500
0.500 0.500 0.000
0.000 0.000 0.000
0.500 0.000 0.629
0.000 0.500 0.371
0.000 0.000 0.500
0.500 0.000 0.875
0.000 0.500 0.125
```

Here is Tb2Pu2In3 after structural relaxation from Alexandria. Energies are from PBE.

Computed properties:
* space group: Cmmm
* VASP energy: -47.8 eV/cell
* spin magnetization: 12.32 μB/cell
* energy relative to the elements: -238 meV/atom

Structure (POSCAR):
```
Tb2Pu2In3
1.0
4.738 0.000 0.629
0.000 3.360 0.000
0.864 0.000 11.653
Tb Pu In
2 2 3
Direct
0.574 0.500 0.853
0.426 0.500 0.147
0.714 0.500 0.572
0.286 0.500 0.428
0.852 0.000 0.295
0.000 0.000 0.000
0.148 0.000 0.705
```

Here is ScAs2F after structural relaxation from Alexandria. Energies are from PBE.

Computed properties:
* space group: I-42d
* VASP energy: -44.0 eV/cell
* E_form (uncorrected): -1126 meV/atom
* spin magnetization: 0.00 μB/cell
* distance to the lowest polymorph of the same formula: 0 meV/atom

Structure (POSCAR):
```
ScAs2F
1.0
-0.561 2.717 -2.508
-2.948 -1.860 -1.356
-7.854 5.273 4.681
Sc As F
2 4 2
Direct
0.000 0.000 0.000
0.750 0.250 0.500
0.653 0.125 0.250
0.097 0.625 0.250
0.375 0.347 0.750
0.875 0.903 0.750
0.500 0.500 0.000
0.250 0.750 0.500
```

Here is B2C after structural relaxation from Alexandria. Energies are from PBE.

Computed properties:
* space group: Cm
* VASP energy: -85.8 eV/cell
* spin magnetization: 0.00 μB/cell
* energy relative to the elements: 380 meV/atom
* distance to the lowest polymorph of the same formula: 195 meV/atom

Structure (POSCAR):
```
B2C
1.0
1.343 7.190 -0.824
-1.343 7.190 -0.824
0.000 0.997 4.495
B C
8 4
Direct
0.350 0.350 0.203
0.276 0.276 0.902
0.137 0.137 0.280
0.961 0.961 0.011
0.952 0.952 0.634
0.851 0.851 0.863
0.834 0.834 0.519
0.643 0.643 0.780
0.166 0.166 0.943
0.611 0.611 0.461
0.500 0.500 0.479
0.468 0.468 0.175
```

Here is Cu2NiHRh after structural relaxation from Alexandria. Energies are from PBE.

Computed properties:
* space group: P4/mmm
* VASP energy: -24.1 eV/cell
* spin magnetization: 0.00 μB/cell
* distance to the lowest polymorph of the same formula: 35 meV/atom

Structure (POSCAR):
```
Cu2NiHRh
1.0
-3.863 0.007 -0.806
0.682 -2.078 -3.285
-0.363 -2.829 1.714
Ni Rh Cu H
1 1 2 1
Direct
0.000 0.000 0.500
0.500 0.500 0.500
0.000 0.500 0.000
0.500 0.000 0.000
0.000 0.000 0.000
```

Here is VFePb2 after structural relaxation from Alexandria. Energies are from PBE.

Computed properties:
* space group: I-42d
* VASP energy: -43.3 eV/cell
* spin magnetization: 9.96 μB/cell
* energy relative to the elements: 841 meV/atom
* distance to the lowest polymorph of the same formula: 151 meV/atom

Structure (POSCAR):
```
VFePb2
1.0
-5.035 3.163 4.639
3.251 -3.438 5.873
0.997 2.306 5.640
Pb Fe V
4 2 2
Direct
0.642 0.125 0.250
0.108 0.625 0.250
0.375 0.358 0.750
0.875 0.892 0.750
0.000 0.000 0.000
0.750 0.250 0.500
0.500 0.500 0.000
0.250 0.750 0.500
```

Here is CrInTc2Pd after structural relaxation from Alexandria. Energies are from PBE.

Computed properties:
* space group: P4/mmm
* VASP energy: -26.4 eV/cell
* spin magnetization: 4.72 μB/cell
* energy relative to the elements: 2375 meV/atom

Structure (POSCAR):
```
CrInTc2Pd
1.0
-2.500 -3.918 -1.586
-1.030 -1.171 4.513
-4.092 2.705 -0.232
Cr Tc Pd In
1 2 1 1
Direct
0.500 0.500 0.500
0.000 0.000 0.500
0.500 0.000 0.000
0.000 0.500 0.000
0.000 0.000 0.000
```

Here is FeTc2AgW after structural relaxation from Alexandria. Energies are from PBE.

Computed properties:
* space group: P4/mmm
* VASP energy: -37.0 eV/cell
* spin magnetization: 0.00 μB/cell
* energy relative to the elements: 1606 meV/atom

Structure (POSCAR):
```
FeTc2AgW
1.0
-2.262 -3.606 -0.744
2.028 -0.432 -4.071
3.143 -2.345 1.815
Fe Ag W Tc
1 1 1 2
Direct
0.000 0.000 0.000
0.000 0.500 0.000
0.500 0.500 0.500
0.000 0.000 0.500
0.500 0.000 0.000
```

Here is HoEr2In2Ag2 after structural relaxation from Alexandria. Energies are from PBE.

Computed properties:
* space group: R-3m
* VASP energy: -26.7 eV/cell
* spin magnetization: 0.00 μB/cell
* energy relative to the elements: -263 meV/atom

Structure (POSCAR):
```
HoEr2In2Ag2
1.0
4.826 0.000 0.000
2.413 4.179 0.000
2.413 1.393 8.818
Ho Er In Ag
1 2 2 2
Direct
0.000 0.000 0.000
0.126 0.126 0.621
0.874 0.874 0.379
0.741 0.741 0.778
0.259 0.259 0.222
0.603 0.603 0.191
0.397 0.397 0.809
```

Here is CrAgC3 after structural relaxation from Alexandria. Energies are from PBE.

Computed properties:
* space group: Pm-3m
* VASP energy: -31.2 eV/cell
* spin magnetization: 0.00 μB/cell
* energy relative to the elements: 1786 meV/atom
* distance to the lowest polymorph of the same formula: 0 meV/atom

Structure (POSCAR):
```
CrAgC3
1.0
-1.934 -3.309 0.398
2.681 -1.272 2.458
-1.980 1.511 2.941
Cr C Ag
1 3 1
Direct
0.000 0.000 0.000
0.000 0.500 0.000
0.000 0.000 0.500
0.500 0.000 0.000
0.500 0.500 0.500
```

Here is TiP2O7 after structural relaxation from Alexandria. Energies are from PBE.

Computed properties:
* space group: Pa-3
* VASP energy: -312.1 eV/cell
* E_form (uncorrected): -2460 meV/atom
* spin magnetization: 0.00 μB/cell
* distance to the lowest polymorph of the same formula: 5 meV/atom

Structure (POSCAR):
```
TiP2O7
1.0
-5.072 3.729 5.279
-6.179 -4.766 -2.571
1.895 -5.557 5.747
Ti P O
4 8 28
Direct
0.500 0.500 0.000
0.500 0.000 0.500
0.000 0.500 0.500
0.000 0.000 0.000
0.111 0.889 0.389
0.889 0.389 0.111
0.389 0.111 0.889
0.611 0.611 0.611
0.889 0.111 0.611
0.111 0.611 0.889
0.611 0.889 0.111
0.389 0.389 0.389
0.084 0.941 0.214
0.916 0.441 0.286
0.416 0.059 0.714
0.584 0.559 0.786
0.214 0.084 0.941
0.286 0.916 0.441
0.714 0.416 0.059
0.786 0.584 0.559
0.941 0.214 0.084
0.441 0.286 0.916
0.059 0.714 0.416
0.559 0.786 0.584
0.916 0.059 0.786
0.084 0.559 0.714
0.584 0.941 0.286
0.416 0.441 0.214
0.786 0.916 0.059
0.714 0.084 0.559
0.286 0.584 0.941
0.214 0.416 0.441
0.059 0.786 0.916
0.559 0.714 0.084
0.941 0.286 0.584
0.441 0.214 0.416
0.000 0.000 0.500
0.000 0.500 0.000
0.500 0.000 0.000
0.500 0.500 0.500
```

Here is CaAcPu after structural relaxation from Alexandria. Energies are from PBE.

Computed properties:
* space group: C2/m
* VASP energy: -40.0 eV/cell
* spin magnetization: 0.00 μB/cell
* energy relative to the elements: 146 meV/atom
* distance to the lowest polymorph of the same formula: 0 meV/atom

Structure (POSCAR):
```
CaAcPu
1.0
3.837 0.000 0.000
-1.918 3.152 0.286
0.000 -3.587 16.317
Pu Ca Ac
2 2 2
Direct
0.181 0.362 0.031
0.819 0.638 0.969
0.290 0.579 0.404
0.710 0.421 0.596
0.127 0.254 0.800
0.873 0.746 0.200
```

Here is Zr2Br after structural relaxation from Alexandria. Energies are from PBE.

Computed properties:
* space group: P-62m
* VASP energy: -57.1 eV/cell
* E_form (uncorrected): -85 meV/atom
* spin magnetization: 0.00 μB/cell
* distance to the lowest polymorph of the same formula: 253 meV/atom

Structure (POSCAR):
```
Zr2Br
1.0
-6.491 2.804 -3.649
-0.527 -6.406 4.690
-0.648 2.052 2.730
Zr Br
6 3
Direct
0.264 0.000 0.000
0.000 0.264 0.000
0.736 0.736 0.000
0.609 0.000 0.500
0.000 0.609 0.500
0.391 0.391 0.500
0.333 0.667 0.000
0.667 0.333 0.000
0.000 0.000 0.500
```

Here is HfTh2Pa after structural relaxation from Alexandria. Energies are from PBE.

Computed properties:
* space group: R-3m
* VASP energy: -32.7 eV/cell
* spin magnetization: 0.00 μB/cell
* energy relative to the elements: 402 meV/atom
* distance to the lowest polymorph of the same formula: 269 meV/atom

Structure (POSCAR):
```
HfTh2Pa
1.0
3.277 0.000 0.000
1.639 2.838 0.000
1.639 0.946 12.101
Pa Hf Th
1 1 2
Direct
0.500 0.500 0.500
0.000 0.000 0.000
0.085 0.085 0.746
0.915 0.915 0.254
```

Here is LiGdGaHg after structural relaxation from Alexandria. Energies are from PBE.

Computed properties:
* space group: F-43m
* VASP energy: -21.1 eV/cell
* spin magnetization: 7.07 μB/cell
* energy relative to the elements: -441 meV/atom

Structure (POSCAR):
```
LiGdGaHg
1.0
-2.600 -1.202 -4.061
2.170 -2.542 -3.678
-1.263 -4.734 -0.831
Gd Hg Ga Li
1 1 1 1
Direct
0.000 0.000 0.000
0.750 0.750 0.750
0.250 0.250 0.250
0.500 0.500 0.500
```

Here is LiTa2Pb after structural relaxation from Alexandria. Energies are from PBE.

Computed properties:
* space group: Pmmm
* VASP energy: -27.3 eV/cell
* spin magnetization: 0.00 μB/cell
* energy relative to the elements: 500 meV/atom

Structure (POSCAR):
```
LiTa2Pb
1.0
2.931 0.000 0.000
0.000 4.668 0.000
0.000 0.000 5.587
Li Pb Ta
1 1 2
Direct
0.500 0.500 0.250
0.500 0.500 0.750
0.000 0.000 0.010
0.000 0.000 0.490
```

Here is Hf2TiSbH after structural relaxation from Alexandria. Energies are from PBE.

Computed properties:
* space group: P4/mmm
* VASP energy: -37.1 eV/cell
* spin magnetization: 0.00 μB/cell

Structure (POSCAR):
```
Hf2TiSbH
1.0
4.397 0.000 0.000
0.000 4.397 0.000
0.000 0.000 4.226
Sb Hf H Ti
1 2 1 1
Direct
0.500 0.500 0.500
0.000 0.500 0.000
0.500 0.000 0.000
0.000 0.000 0.000
0.000 0.000 0.500
```

Here is Ca2Tb2Nd15 after structural relaxation from Alexandria. Energies are from PBE.

Computed properties:
* space group: R-3m
* VASP energy: -80.4 eV/cell
* spin magnetization: 0.00 μB/cell
* energy relative to the elements: 228 meV/atom

Structure (POSCAR):
```
Ca2Tb2Nd15
1.0
8.826 -0.293 1.726
1.365 8.725 1.726
-0.354 -0.293 8.986
Ca Tb Nd
2 2 15
Direct
0.669 0.669 0.669
0.331 0.331 0.331
0.905 0.905 0.905
0.095 0.095 0.095
0.000 0.500 0.000
0.000 0.000 0.500
0.500 0.000 0.000
0.294 0.000 0.706
0.706 0.294 0.000
0.000 0.706 0.294
0.294 0.706 0.000
0.000 0.294 0.706
0.706 0.000 0.294
0.364 0.853 0.364
0.364 0.364 0.853
0.853 0.364 0.364
0.636 0.147 0.636
0.636 0.636 0.147
0.147 0.636 0.636
```

Here is Dy6TlBi2 after structural relaxation from Alexandria. Energies are from PBE.

Computed properties:
* space group: P-62m
* VASP energy: -41.8 eV/cell
* spin magnetization: 3.28 μB/cell
* energy relative to the elements: -447 meV/atom

Structure (POSCAR):
```
Dy6TlBi2
1.0
-1.585 3.674 1.668
-7.565 -1.726 -3.387
1.871 -2.731 7.794
Dy Tl Bi
6 1 2
Direct
0.500 0.598 0.000
0.500 0.402 0.402
0.500 0.000 0.598
0.000 0.256 0.000
0.000 0.744 0.744
0.000 0.000 0.256
0.500 0.000 0.000
0.000 0.333 0.666
0.000 0.667 0.334
```